# PBE-GGA RbCa2Hg2, relaxed
# **Energy relative to the lowest polymorph listed for this composition**: 119.5 meV/atom
# **Formation energy from the elements**: -0.17 eV/atom
data_RbCa2Hg2
_space_group_name_H-M_alt 'I 4/m m m'
_space_group_IT_number 139
_space_group_name_Hall '-I 4 2'
_cell_length_a 5.862
_cell_length_b 5.862
_cell_length_c 12.060
_cell_angle_alpha 90.00
_cell_angle_beta 90.00
_cell_angle_gamma 90.00
loop_
_atom_site_label
_atom_site_type_symbol
_atom_site_fract_x
_atom_site_fract_y
_atom_site_fract_z
Rb1 Rb 0.000 0.000 0.000
Ca1 Ca 0.000 0.000 0.340
Hg1 Hg 0.000 0.500 0.250